# MnF4

MnF4 after structural relaxation (GGA+U, Alexandria).

Cell: 3.884 3.884 3.884 Å, 90.00 90.00 90.00°
Space group Pm-3m (No. 221)
One atom of each set of equivalent atoms:
Mn 0.000 0.000 0.000
F 0.000 0.000 0.500
F 0.500 0.500 0.500

The calculation puts the volume at 59 Å³ per cell. The energy is -23.5 eV/cell. The total moment is 4.7 μB per cell.